Compound: VGaCu
Source: Alexandria via LeMat-Bulk
Functional: GGA-PBE
Structure: optimized geometry

Computed properties:
As for the symmetry: Cm, No. 8. The value obtained for the total energy is -5.239 eV/atom. The calculation puts the volume at 14.9 Å³ per atom.

abc: 4.147 4.146 6.466
angles: 71.09 71.30 60.00
Sites, in units of the cell vectors:
Ga 0.172 0.862 0.795
Cu 0.592 0.274 0.543
Ga 0.017 0.703 0.263
Cu 0.311 0.994 0.385
V 0.446 0.134 0.974
V 0.746 0.433 0.075

---

Compound: CsMgTi3
Source: Alexandria via LeMat-Bulk
Functional: GGA-PBE
Structure: optimized geometry

Computed properties:
As for the symmetry: Pm-3m, No. 221. The value obtained for the total energy is -3.652 eV/atom. The calculation puts the energy above the most stable polymorph in this dataset at 0 meV per atom. The calculation puts the volume at 28.8 Å³ per atom.

abc: 5.242 5.242 5.242
angles: 90.00 90.00 90.00
Sites, in units of the cell vectors:
Cs 0.500 0.500 0.500
Ti 0.000 0.500 0.000
Mg 0.000 0.000 0.000
Ti 0.500 0.000 0.000
Ti 0.000 0.000 0.500

---

no.,ΔH_f (0 K) (eV/atom)
1,0.1753
2,1.5750